Record 1
VASP calculation (PBE) on Tl4SbPb15 after structural relaxation.

The volume is 31.67 Å³ per atom. The value obtained for the energy is -68.3 eV for the cell shown. The value obtained for the formation energy from raw total energies is 0.047 eV per atom. The calculation puts the total moment at 0.000 μB/f.u. Its density is 10.612 g cm⁻³.

The structure belongs to space group P4/mmm (No. 123); the cell edges are 6.0099, 6.0099 and 17.5339 Å and the angles 90.00°, 90.00° and 90.00°. Symmetry generates all atoms from Tl at (0.0000, 0.0000, 0.0996), Tl at (0.0000, 0.0000, 0.2995), Sb at (0.0000, 0.0000, 0.5000), Pb at (0.0000, 0.5000, 0.0000), Pb at (0.0000, 0.5000, 0.1986), Pb at (0.0000, 0.5000, 0.4052), Pb at (0.5000, 0.5000, 0.0977), Pb at (0.5000, 0.5000, 0.2996) and Pb at (0.5000, 0.5000, 0.5000).



Record 2
VASP calculation (PBE) on CdP2WS after structural relaxation.

The volume is 22.54 Å³ per atom. The value obtained for the energy is -19.5 eV for the cell shown. The value obtained for the formation energy from raw total energies is 1.868 eV per atom. The calculation puts the total moment at 2.390 μB/f.u. Its density is 5.749 g cm⁻³.

The structure belongs to space group P4/mmm (No. 123); the cell edges are 4.8101, 4.8101 and 4.8717 Å and the angles 90.00°, 90.00° and 90.00°. Symmetry generates all atoms from Cd at (0.0000, 0.0000, 0.0000), P at (0.0000, 0.5000, 0.0000), W at (0.5000, 0.5000, 0.5000) and S at (0.0000, 0.0000, 0.5000).



Record 3
VASP calculation (PBE) on MnAg2Os after structural relaxation.

The calculation puts the formation energy at 0.5780 eV/atom. The volume is 16.20 Å³ per atom. The value obtained for the energy is -47.6 eV for the cell shown. The calculation puts the total moment at 3.742 μB/f.u. Its density is 11.810 g cm⁻³.

The structure belongs to space group Imm2 (No. 44); the cell edges are 2.8182, 4.8389 and 9.5043 Å and the angles 90.00°, 90.00° and 90.00°. Symmetry generates all atoms from Mn at (0.0000, 0.0000, 0.0000), Ag at (0.0000, 0.0000, 0.5200), Ag at (0.0000, 0.5000, 0.7539) and Os at (0.0000, 0.5000, 0.2853).



Record 4
VASP calculation (PBE) on RbTm2MgTe4 after structural relaxation.

The volume is 33.48 Å³ per atom. The value obtained for the energy is -132.1 eV for the cell shown. The value obtained for the formation energy from raw total energies is -1.119 eV per atom. The calculation puts the total moment at 0.000 μB/f.u. Its density is 5.940 g cm⁻³.

The structure belongs to space group Cmcm (No. 63); the cell edges are 4.4612, 15.3120 and 15.6823 Å and the angles 90.00°, 90.00° and 90.00°. Symmetry generates all atoms from Rb at (0.0000, 0.1211, 0.2500), Tm at (0.0000, 0.3765, 0.0558), Mg at (0.0000, 0.1628, 0.7500), Te at (0.0000, 0.0000, 0.0000), Te at (0.0000, 0.2603, 0.6038) and Te at (0.0000, 0.4417, 0.2500).



Record 5
VASP calculation (PBE) on MnH3S after structural relaxation.

The volume is 7.29 Å³ per atom. The value obtained for the energy is -19.8 eV for the cell shown. The calculation puts the total moment at 0.000 μB/f.u. Its density is 4.101 g cm⁻³.

The structure belongs to space group Pm-3m (No. 221); the cell edges are 3.3157, 3.3157 and 3.3157 Å and the angles 90.00°, 90.00° and 90.00°. Symmetry generates all atoms from Mn at (0.0000, 0.0000, 0.0000), H at (0.0000, 0.0000, 0.5000) and S at (0.5000, 0.5000, 0.5000).



Record 6
VASP calculation (PBE) on TaTl2Fe after structural relaxation.

The calculation puts the formation energy at 0.6622 eV/atom. The volume is 19.69 Å³ per atom. The value obtained for the energy is -67.2 eV for the cell shown. The calculation puts the total moment at 2.741 μB/f.u. Its density is 13.608 g cm⁻³.

The structure belongs to space group R-3m (No. 166, hexagonal axes); the cell edges are 3.1104, 3.1104 and 28.2070 Å and the angles 90.00°, 90.00° and 120.00°. Symmetry generates all atoms from Ta at (0.0000, 0.0000, 0.0000), Tl at (0.0000, 0.0000, 0.2452) and Fe at (0.0000, 0.0000, 0.5000).